Compound: BeCrO2F
Source: Alexandria via LeMat-Bulk
Functional: GGA+U
Structure: relaxed

Summary:
D(E_F) = 1.7 states/eV/f.u.
M_tot = 0.6000 μB per atom
Crystal system = tetragonal
Calculated total energy = -6.21 eV per atom

Cell lengths 3.5882, 3.5882, 3.2668 Å; angles 90.00, 90.00, 90.00 degrees
Space group P4/mmm (No. 123)
Asymmetric unit:
Be  0.0000  0.0000  0.0000 x1
Cr  0.5000  0.5000  0.5000 x1
O  0.0000  0.5000  0.0000 x2
F  0.0000  0.0000  0.5000 x1

Compound: BeCrO2F
Source: Alexandria via LeMat-Bulk
Functional: GGA+U
Structure: relaxed

Summary:
D(E_F) = 0.9 states/eV/f.u.
M_tot = 0.5942 μB per atom
Crystal system = tetragonal
Calculated total energy = -5.65 eV per atom

Cell lengths 3.8614, 3.8614, 3.7266 Å; angles 90.00, 90.00, 90.00 degrees
Space group P4/mmm (No. 123)
Asymmetric unit:
Be  0.0000  0.0000  0.0000 x1
Cr  0.5000  0.5000  0.5000 x1
O  0.0000  0.5000  0.5000 x2
F  0.5000  0.5000  0.0000 x1